A geometry-optimized RbMg3Ga structure. Source: the Alexandria database, functional PBE.

POSCAR file:
```
RbMg3Ga
1.0
-3.3705 -2.3323 3.5704
4.0792 -3.0905 1.8320
1.2439 3.8153 3.6666
Mg Ga Rb
3 1 1
Direct
0.0000 0.5000 0.0000 Mg
0.0000 0.0000 0.5000 Mg
0.5000 0.0000 0.0000 Mg
0.0000 0.0000 0.0000 Ga
0.5000 0.5000 0.5000 Rb
```

Output
DOS(E_F)   3.37 states/eV/f.u.
Final energy   -1.583 eV/atom
Distance to the lowest polymorph of the same formula   0 meV/atom